Li2AsBr: optimized geometry, GGA-PBE.

Structure (POSCAR):
```
Li2AsBr
1.0
-1.665 2.419 1.343
-2.560 -1.971 0.377
1.079 -3.060 6.851
Br Li As
1 2 1
direct
0.500 0.750 0.750
0.000 0.021 0.979
0.000 0.479 0.521
0.500 0.250 0.250
```

Summary:
energy relative to the elements, uncorrected	-0.6989	eV per atom
polymorph energy (0 for the lowest one)	47	meV/atom
space-group type	P2/m, No. 10
theoretical density	3.62	g/cm³

LiAsBr6: optimized geometry, GGA-PBE.

Structure (POSCAR):
```
LiAsBr6
1.0
6.674 -0.293 -0.397
3.076 6.414 -0.282
2.900 1.957 5.396
Br As Li
6 1 1
direct
0.883 0.650 0.231
0.117 0.350 0.769
0.648 0.201 0.265
0.777 0.109 0.711
0.223 0.891 0.289
0.352 0.799 0.735
0.000 0.000 0.000
0.500 0.500 0.500
```

Summary:
energy relative to the elements, uncorrected	-0.3992	eV per atom
space-group type	P-1, No. 2
theoretical density	3.81	g/cm³

Li2AsBr: optimized geometry, GGA-PBE.

Structure (POSCAR):
```
Li2AsBr
1.0
-7.844 -4.581 0.045
-5.310 -7.370 -0.002
-6.248 -5.731 3.259
Li As Br
2 1 1
direct
0.012 0.012 0.012
0.251 0.251 0.251
0.528 0.528 0.528
0.708 0.708 0.708
```

Summary:
energy relative to the elements, uncorrected	-0.3713	eV per atom
polymorph energy (0 for the lowest one)	374	meV/atom
space-group type	R3m, No. 160
theoretical density	2.58	g/cm³

LiAsBr2: optimized geometry, GGA-PBE.

Structure (POSCAR):
```
LiAsBr2
1.0
6.545 0.133 0.006
1.796 6.295 0.006
1.914 1.475 2.650
Br As Li
2 1 1
direct
0.500 0.500 0.000
0.000 0.000 0.000
0.000 0.500 0.500
0.500 0.000 0.500
```

Summary:
energy relative to the elements, uncorrected	-0.4296	eV per atom
polymorph energy (0 for the lowest one)	159	meV/atom
space-group type	C2/m, No. 12
theoretical density	3.70	g/cm³

LiAsBr2: optimized geometry, GGA-PBE.

Structure (POSCAR):
```
LiAsBr2
1.0
-2.063 -2.567 -2.400
-0.049 -2.754 2.988
-5.125 2.254 1.994
Br As Li
2 1 1
direct
0.000 0.000 0.864
0.500 0.500 0.366
0.500 0.500 0.867
0.000 0.000 0.403
```

Summary:
energy relative to the elements, uncorrected	-0.4396	eV per atom
polymorph energy (0 for the lowest one)	149	meV/atom
space-group type	Pmm2, No. 25
theoretical density	4.08	g/cm³

LiAsBr2: optimized geometry, GGA-PBE.

Structure (POSCAR):
```
LiAsBr2
1.0
2.110 0.000 8.376
-1.055 1.827 8.376
-1.055 -1.827 8.376
Br Li As
2 1 1
direct
0.896 0.896 0.896
0.104 0.104 0.104
0.500 0.500 0.500
0.000 0.000 0.000
```

Summary:
energy relative to the elements, uncorrected	-0.5885	eV per atom
polymorph energy (0 for the lowest one)	0	meV/atom
space-group type	R-3m, No. 166
theoretical density	4.14	g/cm³

LiAs2Br: optimized geometry, GGA-PBE.

Structure (POSCAR):
```
LiAs2Br
1.0
-0.376 2.739 1.399
-1.386 -1.408 2.387
7.936 -0.972 4.037
As Br Li
2 1 1
direct
0.000 0.000 0.598
0.000 0.000 0.902
0.500 0.500 0.250
0.500 0.500 0.750
```

Summary:
energy relative to the elements, uncorrected	-0.0009	eV per atom
polymorph energy (0 for the lowest one)	664	meV/atom
space-group type	P4/mmm, No. 123
theoretical density	4.57	g/cm³

LiAs2Br: optimized geometry, GGA-PBE.

Structure (POSCAR):
```
LiAs2Br
1.0
-2.931 6.685 -1.417
-4.543 4.463 -3.838
-2.860 -0.844 2.679
As Li Br
2 1 1
direct
0.997 0.997 0.058
0.503 0.503 0.442
0.250 0.250 0.250
0.750 0.750 0.750
```

Summary:
energy relative to the elements, uncorrected	-0.4658	eV per atom
polymorph energy (0 for the lowest one)	199	meV/atom
space-group type	C2/m, No. 12
theoretical density	3.72	g/cm³

LiAsBr2: optimized geometry, GGA-PBE.

Structure (POSCAR):
```
LiAsBr2
1.0
3.956 -2.997 1.066
-0.776 -4.763 1.577
1.126 -3.899 -3.050
Li Br As
1 2 1
direct
0.000 0.000 0.000
0.250 0.250 0.250
0.750 0.750 0.750
0.500 0.500 0.500
```

Summary:
energy relative to the elements, uncorrected	-0.1106	eV per atom
polymorph energy (0 for the lowest one)	478	meV/atom
space-group type	Fm-3m, No. 225
theoretical density	4.34	g/cm³

LiAsBr2: optimized geometry, GGA-PBE.

Structure (POSCAR):
```
LiAsBr2
1.0
7.334 0.000 0.000
0.000 7.334 0.000
3.667 3.667 3.617
Br As Li
4 2 2
direct
0.604 0.125 0.250
0.146 0.625 0.250
0.375 0.396 0.750
0.875 0.854 0.750
0.750 0.250 0.500
0.000 0.000 0.000
0.500 0.500 0.000
0.250 0.750 0.500
```

Summary:
energy relative to the elements, uncorrected	-0.3119	eV per atom
polymorph energy (0 for the lowest one)	277	meV/atom
space-group type	I-42d, No. 122
theoretical density	4.13	g/cm³

Li2As2Br: optimized geometry, GGA-PBE.

Structure (POSCAR):
```
Li2As2Br
1.0
-1.459 -1.930 4.632
-3.810 -2.713 -2.330
0.164 -5.773 0.594
Li As Br
2 2 1
direct
0.750 0.250 0.500
0.250 0.750 0.500
0.624 0.624 0.753
0.376 0.376 0.247
0.000 0.000 0.000
```

Summary:
energy relative to the elements, uncorrected	-0.2558	eV per atom
space-group type	I4/mmm, No. 139
theoretical density	3.31	g/cm³

LiAs2Br: optimized geometry, GGA-PBE.

Structure (POSCAR):
```
LiAs2Br
1.0
0.000 3.469 3.469
3.469 0.000 3.469
3.469 3.469 0.000
Li Br As
1 1 2
direct
0.000 0.000 0.000
0.500 0.500 0.500
0.250 0.250 0.250
0.750 0.750 0.750
```

Summary:
energy relative to the elements, uncorrected	0.4279	eV per atom
polymorph energy (0 for the lowest one)	1093	meV/atom
space-group type	Fm-3m, No. 225
theoretical density	4.71	g/cm³

LiAsBr2: optimized geometry, GGA-PBE.

Structure (POSCAR):
```
LiAsBr2
1.0
3.470 0.046 0.000
-0.049 3.470 0.000
0.000 0.000 7.878
Li Br As
1 2 1
direct
0.000 0.000 0.468
0.500 0.500 0.363
0.000 0.000 0.955
0.500 0.500 0.714
```

Summary:
energy relative to the elements, uncorrected	-0.3057	eV per atom
polymorph energy (0 for the lowest one)	283	meV/atom
space-group type	P4mm, No. 99
theoretical density	4.23	g/cm³

LiAs2Br: optimized geometry, GGA-PBE.

Structure (POSCAR):
```
LiAs2Br
1.0
-5.116 -0.306 0.750
-0.243 -3.995 -3.288
0.458 -1.947 2.331
As Li Br
2 1 1
direct
0.000 0.000 0.000
0.500 0.500 0.000
0.000 0.500 0.500
0.500 0.000 0.500
```

Summary:
energy relative to the elements, uncorrected	0.2467	eV per atom
polymorph energy (0 for the lowest one)	911	meV/atom
space-group type	P4/mmm, No. 123
theoretical density	4.77	g/cm³

LiAs2Br: optimized geometry, GGA-PBE.

Structure (POSCAR):
```
LiAs2Br
1.0
-2.806 -2.016 2.961
3.818 -1.382 -2.054
4.625 3.112 6.502
Br As Li
1 2 1
direct
0.000 0.000 0.550
0.500 0.500 0.207
0.000 0.000 0.024
0.500 0.500 0.720
```

Summary:
energy relative to the elements, uncorrected	-0.3292	eV per atom
polymorph energy (0 for the lowest one)	336	meV/atom
space-group type	Cmm2, No. 35
theoretical density	3.01	g/cm³

Li2AsBr5: optimized geometry, GGA-PBE.

Structure (POSCAR):
```
Li2AsBr5
1.0
6.496 0.287 2.184
-1.565 6.199 3.840
-0.595 -0.235 7.380
Br As Li
5 1 2
direct
0.256 0.756 0.988
0.696 0.115 0.268
0.696 0.617 0.268
0.873 0.122 0.757
0.256 0.255 0.988
0.967 0.952 0.096
0.974 0.435 0.131
0.507 0.971 0.058
```

Summary:
energy relative to the elements, uncorrected	-0.9168	eV per atom
space-group type	Cm, No. 8
theoretical density	2.58	g/cm³

Li2AsBr: optimized geometry, GGA-PBE.

Structure (POSCAR):
```
Li2AsBr
1.0
-1.232 2.730 3.930
2.406 -0.596 4.275
3.065 3.520 1.622
Li Br As
2 1 1
direct
0.000 0.000 0.000
0.250 0.250 0.250
0.750 0.750 0.750
0.500 0.500 0.500
```

Summary:
energy relative to the elements, uncorrected	-0.0499	eV per atom
polymorph energy (0 for the lowest one)	696	meV/atom
space-group type	F-43m, No. 216
theoretical density	3.28	g/cm³

LiAs2Br: optimized geometry, GGA-PBE.

Structure (POSCAR):
```
LiAs2Br
1.0
3.802 -0.008 -0.019
1.908 3.289 -0.019
0.040 0.023 8.140
As Br Li
2 1 1
direct
0.125 0.125 0.786
0.792 0.792 0.950
0.458 0.458 0.323
0.125 0.125 0.442
```

Summary:
energy relative to the elements, uncorrected	-0.6647	eV per atom
polymorph energy (0 for the lowest one)	0	meV/atom
space-group type	Cm, No. 8
theoretical density	3.86	g/cm³

Li2AsBr: optimized geometry, GGA-PBE.

Structure (POSCAR):
```
Li2AsBr
1.0
5.288 0.002 0.008
0.920 5.207 -0.008
-2.013 -3.905 2.943
Br As Li
1 1 2
direct
0.250 0.750 0.500
0.750 0.250 0.500
0.490 0.490 0.000
0.010 0.010 0.000
```

Summary:
energy relative to the elements, uncorrected	-0.5218	eV per atom
polymorph energy (0 for the lowest one)	224	meV/atom
space-group type	Immm, No. 71
theoretical density	3.46	g/cm³

Li2AsBr: optimized geometry, GGA-PBE.

Structure (POSCAR):
```
Li2AsBr
1.0
-0.747 1.606 6.454
6.208 -2.162 1.256
4.176 3.434 3.099
Li As Br
4 2 2
direct
0.875 0.900 0.750
0.375 0.350 0.750
0.100 0.625 0.250
0.650 0.125 0.250
0.500 0.500 0.000
0.250 0.750 0.500
0.750 0.250 0.500
0.000 0.000 0.000
```

Summary:
energy relative to the elements, uncorrected	-0.5217	eV per atom
polymorph energy (0 for the lowest one)	224	meV/atom
space-group type	I-42d, No. 122
theoretical density	3.09	g/cm³